# KSnB | Alexandria via LeMat-Bulk | GGA-PBE | relaxed
# V, A^3/atom: 25.85
# Energy of formation from the pure elements, eV per atom: 0.27
# DOS(E_F), states/eV/f.u.: 1.25
# Size of the total moment, μB/cell: 0.00
data_KSnB
_chemical_formula_sum 'K2 Sn2 B2'
_cell_length_a 3.285
_cell_length_b 6.021
_cell_length_c 7.842
_cell_angle_alpha 90.00
_cell_angle_beta 90.00
_cell_angle_gamma 90.00
_symmetry_space_group_name_H-M 'P 1'
_symmetry_Int_Tables_number 1
loop_
_symmetry_equiv_pos_as_xyz
'x,y,z'
loop_
_atom_site_label
_atom_site_fract_x
_atom_site_fract_y
_atom_site_fract_z
Sn1 0.250 0.500 0.182
B1 0.500 0.500 0.500
B2 0.000 0.500 0.500
K1 0.750 0.000 0.272
Sn2 0.750 0.500 0.818
K2 0.250 0.000 0.728